The following is a PBE+U calculation of a geometry-optimized Fe3O2F4 structure, from the Alexandria database.

Values from the calculation:
**Symmetry**: P2_1/c
**E_tot**: -5.837 eV per atom
**Magnetization**: 28.000 μB per cell

```
data_Fe3O2F4
_chemical_formula_sum 'Fe6 O4 F8'
_space_group_name_H-M_alt 'P 1'
_space_group_IT_number 1
_space_group_name_Hall 'P 1'
_cell_length_a 5.012
_cell_length_b 5.860
_cell_length_c 7.899
_cell_angle_alpha 82.22
_cell_angle_beta 90.00
_cell_angle_gamma 90.00
loop_
_atom_site_label
_atom_site_type_symbol
_atom_site_fract_x
_atom_site_fract_y
_atom_site_fract_z
_atom_site_occupancy
F1 F 0.319 0.883 0.441 1
F2 F 0.681 0.117 0.559 1
F3 F 0.308 0.179 0.120 1
F4 F 0.819 0.617 0.559 1
F5 F 0.692 0.821 0.880 1
F6 F 0.192 0.679 0.120 1
F7 F 0.808 0.321 0.880 1
F8 F 0.181 0.383 0.441 1
O1 O 0.192 0.071 0.769 1
O2 O 0.808 0.929 0.231 1
O3 O 0.692 0.429 0.231 1
O4 O 0.308 0.571 0.769 1
Fe1 Fe 0.437 0.872 0.686 1
Fe2 Fe 0.500 0.500 0.000 1
Fe3 Fe 0.563 0.128 0.314 1
Fe4 Fe 0.063 0.372 0.686 1
Fe5 Fe 0.937 0.628 0.314 1
Fe6 Fe 0.000 0.000 0.000 1
```